[1]
VASP calculation (PBE) on CaLa2PbC after structural relaxation.

The structure in CIF format:
```
data_CaLa2PbC
_chemical_formula_sum 'Ca1 La2 Pb1 C1'
_symmetry_space_group_name_H-M 'P 4/m m m'
_symmetry_Int_Tables_number 123
_symmetry_space_group_name_Hall '-P 4 2'
_cell_length_a 5.218
_cell_length_b 5.218
_cell_length_c 5.103
_cell_angle_alpha 90.00
_cell_angle_beta 90.00
_cell_angle_gamma 90.00
loop_
_atom_site_label
_atom_site_type_symbol
_atom_site_fract_x
_atom_site_fract_y
_atom_site_fract_z
Ca1 Ca 0.000 0.000 0.000
La1 La 0.000 0.500 0.500
Pb1 Pb 0.500 0.500 0.000
C1 C 0.000 0.000 0.500
```

density of states at the Fermi level	1.1	states/eV per cell
total moment	0.0	Bohr magnetons per cell
VASP energy	-5.361	eV/atom
calculated formation energy	-0.403	eV/atom



[2]
VASP calculation (PBE) on CaLa2RuC after structural relaxation.

The structure in CIF format:
```
data_CaLa2RuC
_chemical_formula_sum 'Ca1 La2 Ru1 C1'
_symmetry_space_group_name_H-M 'P 4/m m m'
_symmetry_Int_Tables_number 123
_symmetry_space_group_name_Hall '-P 4 2'
_cell_length_a 5.453
_cell_length_b 5.453
_cell_length_c 4.025
_cell_angle_alpha 90.00
_cell_angle_beta 90.00
_cell_angle_gamma 90.00
loop_
_atom_site_label
_atom_site_type_symbol
_atom_site_fract_x
_atom_site_fract_y
_atom_site_fract_z
Ca1 Ca 0.000 0.000 0.000
La1 La 0.000 0.500 0.500
Ru1 Ru 0.500 0.500 0.000
C1 C 0.500 0.500 0.500
```

density of states at the Fermi level	3.5	states/eV per cell
total moment	0.0	Bohr magnetons per cell
VASP energy	-6.102	eV/atom
calculated formation energy	-0.030	eV/atom



[3]
VASP calculation (PBE) on CaLa2ScC after structural relaxation.

The structure in CIF format:
```
data_CaLa2ScC
_chemical_formula_sum 'Ca1 La2 Sc1 C1'
_symmetry_space_group_name_H-M 'P 4/m m m'
_symmetry_Int_Tables_number 123
_symmetry_space_group_name_Hall '-P 4 2'
_cell_length_a 5.523
_cell_length_b 5.523
_cell_length_c 4.618
_cell_angle_alpha 90.00
_cell_angle_beta 90.00
_cell_angle_gamma 90.00
loop_
_atom_site_label
_atom_site_type_symbol
_atom_site_fract_x
_atom_site_fract_y
_atom_site_fract_z
Ca1 Ca 0.000 0.000 0.000
La1 La 0.000 0.500 0.500
Sc1 Sc 0.500 0.500 0.000
C1 C 0.500 0.500 0.500
```

density of states at the Fermi level	7.4	states/eV per cell
total moment	0.0	Bohr magnetons per cell
VASP energy	-5.439	eV/atom
calculated formation energy	0.044	eV/atom



[4]
VASP calculation (PBE) on CaLaSc2C after structural relaxation.

The structure in CIF format:
```
data_CaLaSc2C
_chemical_formula_sum 'Ca1 La1 Sc2 C1'
_symmetry_space_group_name_H-M 'P 4/m m m'
_symmetry_Int_Tables_number 123
_symmetry_space_group_name_Hall '-P 4 2'
_cell_length_a 4.681
_cell_length_b 4.681
_cell_length_c 5.595
_cell_angle_alpha 90.00
_cell_angle_beta 90.00
_cell_angle_gamma 90.00
loop_
_atom_site_label
_atom_site_type_symbol
_atom_site_fract_x
_atom_site_fract_y
_atom_site_fract_z
Ca1 Ca 0.000 0.000 0.000
La1 La 0.500 0.500 0.000
Sc1 Sc 0.000 0.500 0.500
C1 C 0.500 0.500 0.500
```

density of states at the Fermi level	5.0	states/eV per cell
total moment	0.0	Bohr magnetons per cell
VASP energy	-5.752	eV/atom
calculated formation energy	0.012	eV/atom